Record 1
A relaxed USnTe2O crystal, computed with PBE.

Results
For the calculated density, the calculation gives 8.09 g/cm³. For the total magnetization, the calculation gives 2.24 μB per formula unit.

Geometry as POSCAR:
```
USnTe2O
1.0
4.231 0.000 0.000
0.000 4.231 0.000
0.000 0.000 14.396
U Sn Te O
2 2 4 2
Direct
0.250 0.250 0.072
0.750 0.750 0.928
0.250 0.250 0.597
0.750 0.750 0.403
0.250 0.250 0.378
0.250 0.250 0.819
0.750 0.750 0.181
0.750 0.750 0.622
0.250 0.750 0.000
0.750 0.250 0.000
```

=====

Record 2
A relaxed CaHgSb2I crystal, computed with PBE.

Results
For the calculated density, the calculation gives 5.26 g/cm³. For the total magnetization, the calculation gives 0.35 μB per formula unit. For the energy above the most stable polymorph in this dataset, the calculation gives 0.000 eV per atom.

Geometry as POSCAR:
```
CaHgSb2I
1.0
5.473 0.000 0.000
0.000 5.473 0.000
0.000 0.000 6.439
Ca Hg Sb I
1 1 2 1
Direct
0.000 0.000 0.000
0.500 0.500 0.500
0.000 0.500 0.500
0.500 0.000 0.500
0.500 0.500 0.000
```

=====

Table of raw formation energy (eV per atom), in record order: -1.240; 0.131